The following is a DFT calculation (GGA+U) of an optimized crystal structure of LiNiO.

Output
As for the volume: 123 Å³ per cell. For the size of the total moment, the calculation gives 1.0 μB per formula unit. As for the total DFT energy (no corrections): -4.074 eV/atom.

Geometry as CIF:
```
data_LiNiO
_chemical_formula_sum 'Li4 Ni4 O4'
_cell_length_a 4.891
_cell_length_b 5.108
_cell_length_c 4.911
_cell_angle_alpha 90.00
_cell_angle_beta 90.00
_cell_angle_gamma 90.00
_symmetry_space_group_name_H-M 'C m m e'
_symmetry_Int_Tables_number 67
_symmetry_space_group_name_Hall '-C 2a 2'
loop_
_atom_site_label
_atom_site_fract_x
_atom_site_fract_y
_atom_site_fract_z
Li1 0.250 0.000 0.000
Ni1 0.250 0.250 0.500
O1 0.000 0.250 0.193
```